1.
First-principles (PBE) data for a relaxed structure of AcPm7Nd12, as listed in the Alexandria database.

a = 10.131 Å, b = 10.131 Å, c = 10.131 Å
α = 109.47°, β = 109.47°, γ = 109.47°
Positions (direct):
Ac (0.000, 0.000, 0.000)
Pm (0.000, 0.000, 0.500)
Pm (0.000, 0.500, 0.000)
Pm (0.000, 0.500, 0.500)
Pm (0.500, 0.000, 0.000)
Pm (0.500, 0.000, 0.500)
Pm (0.500, 0.500, 0.000)
Pm (0.500, 0.500, 0.500)
Nd (0.002, 0.746, 0.255)
Nd (0.254, 0.255, 0.509)
Nd (0.254, 0.745, 0.998)
Nd (0.255, 0.002, 0.746)
Nd (0.255, 0.509, 0.254)
Nd (0.491, 0.746, 0.745)
Nd (0.509, 0.254, 0.255)
Nd (0.745, 0.491, 0.746)
Nd (0.745, 0.998, 0.254)
Nd (0.746, 0.255, 0.002)
Nd (0.746, 0.745, 0.491)
Nd (0.998, 0.254, 0.745)

Values from the calculation:
* polymorph energy (0 for the lowest one): 369.4 meV per atom
* spin magnetization: 0.0 μB per cell
* formation enthalpy at 0 K: 55.3 kJ/mol of atoms
* VASP energy: -4.1556 eV per atom
* N(E_F): 26.5 states/eV per cell

2.
First-principles (PBE) data for a relaxed structure of YNiP2S, as listed in the Alexandria database.

a = 5.255 Å, b = 5.255 Å, c = 5.119 Å
α = 90.00°, β = 90.00°, γ = 90.00°
Positions (direct):
Y (0.000, 0.000, 0.000)
Ni (0.500, 0.500, 0.500)
P (0.000, 0.500, 0.000)
P (0.500, 0.000, 0.000)
S (0.000, 0.000, 0.500)

Values from the calculation:
* polymorph energy (0 for the lowest one): 1255.0 meV per atom
* formation energy (no corrections): 901 meV per atom
* spin magnetization: 1.0 μB per cell
* VASP energy: -4.5370 eV per atom
* N(E_F): 10.8 states/eV per cell

3.
First-principles (PBE) data for a relaxed structure of EuErGe4, as listed in the Alexandria database.

a = 5.679 Å, b = 5.679 Å, c = 5.679 Å
α = 60.00°, β = 60.00°, γ = 60.00°
Positions (direct):
Eu (0.000, 0.000, 0.000)
Er (0.750, 0.750, 0.750)
Ge (0.377, 0.377, 0.377)
Ge (0.377, 0.377, 0.870)
Ge (0.377, 0.870, 0.377)
Ge (0.870, 0.377, 0.377)

Values from the calculation:
* spin magnetization: 7.6 μB per cell
* formation enthalpy at 0 K: -33.1 kJ/mol of atoms
* VASP energy: -5.8943 eV per atom
* N(E_F): 5.0 states/eV per cell

4.
First-principles (PBE) data for a relaxed structure of K2IO2F4, as listed in the Alexandria database.

a = 6.017 Å, b = 6.017 Å, c = 4.875 Å
α = 90.74°, β = 90.74°, γ = 60.05°
Positions (direct):
K (0.171, 0.171, 0.300)
K (0.829, 0.829, 0.700)
I (0.500, 0.500, 0.000)
O (0.346, 0.346, 0.797)
O (0.654, 0.654, 0.203)
F (0.173, 0.677, 0.235)
F (0.323, 0.827, 0.765)
F (0.677, 0.173, 0.235)
F (0.827, 0.323, 0.765)

Values from the calculation:
* formation energy (no corrections): -1647 meV per atom
* spin magnetization: 1.0 μB per cell
* VASP energy: -3.9965 eV per atom
* N(E_F): 1.5 states/eV per cell

5.
First-principles (PBE) data for a relaxed structure of BaLaTeRh2, as listed in the Alexandria database.

a = 5.098 Å, b = 5.098 Å, c = 5.783 Å
α = 90.00°, β = 90.00°, γ = 90.00°
Positions (direct):
Ba (0.000, 0.000, 0.000)
La (0.500, 0.500, 0.000)
Te (0.500, 0.500, 0.500)
Rh (0.000, 0.500, 0.500)
Rh (0.500, 0.000, 0.500)

Values from the calculation:
* formation energy (no corrections): 83 meV per atom
* spin magnetization: 0.3 μB per cell
* VASP energy: -4.8558 eV per atom
* N(E_F): 8.6 states/eV per cell

6.
First-principles (PBE) data for a relaxed structure of Ge2Mo, as listed in the Alexandria database.

a = 6.400 Å, b = 3.481 Å, c = 8.643 Å
α = 90.00°, β = 90.00°, γ = 90.00°
Positions (direct):
Ge (0.061, 0.250, 0.133)
Ge (0.136, 0.250, 0.541)
Ge (0.364, 0.750, 0.041)
Ge (0.439, 0.750, 0.633)
Ge (0.561, 0.250, 0.367)
Ge (0.636, 0.250, 0.959)
Ge (0.864, 0.750, 0.459)
Ge (0.939, 0.750, 0.867)
Mo (0.249, 0.750, 0.329)
Mo (0.251, 0.250, 0.829)
Mo (0.749, 0.750, 0.171)
Mo (0.751, 0.250, 0.671)

Values from the calculation:
* spin magnetization: 0.0 μB per cell
* formation enthalpy at 0 K: -16.9 kJ/mol of atoms
* VASP energy: -6.8633 eV per atom
* N(E_F): 1.9 states/eV per cell

7.
First-principles (PBE) data for a relaxed structure of TbNi8Rh3, as listed in the Alexandria database.

a = 4.785 Å, b = 4.785 Å, c = 7.833 Å
α = 90.00°, β = 90.00°, γ = 120.00°
Positions (direct):
Tb (0.000, 0.000, 0.000)
Ni (0.165, 0.331, 0.677)
Ni (0.165, 0.835, 0.677)
Ni (0.333, 0.667, 0.433)
Ni (0.333, 0.667, 0.932)
Ni (0.503, 0.005, 0.195)
Ni (0.503, 0.497, 0.195)
Ni (0.669, 0.835, 0.677)
Ni (0.995, 0.497, 0.195)
Rh (0.000, 0.000, 0.385)
Rh (0.667, 0.333, 0.497)
Rh (0.667, 0.333, 0.853)

Values from the calculation:
* spin magnetization: 6.6 μB per cell
* formation enthalpy at 0 K: -9.3 kJ/mol of atoms
* VASP energy: -6.1742 eV per atom
* N(E_F): 17.5 states/eV per cell

8.
First-principles (PBE) data for a relaxed structure of PrHoSiGe, as listed in the Alexandria database.

a = 3.964 Å, b = 5.861 Å, c = 5.861 Å
α = 44.06°, β = 90.00°, γ = 90.00°
Positions (direct):
Pr (0.000, 0.000, 0.000)
Ho (0.500, 0.278, 0.278)
Si (0.000, 0.722, 0.722)
Ge (0.500, 0.565, 0.565)

Values from the calculation:
* formation energy (no corrections): -785 meV per atom
* spin magnetization: 0.0 μB per cell
* VASP energy: -5.6340 eV per atom
* N(E_F): 2.9 states/eV per cell

9.
First-principles (PBE) data for a relaxed structure of GdAlHg2, as listed in the Alexandria database.

a = 4.522 Å, b = 4.522 Å, c = 4.524 Å
α = 90.00°, β = 90.00°, γ = 90.00°
Positions (direct):
Gd (0.000, 0.000, 0.000)
Al (0.500, 0.500, 0.000)
Hg (0.000, 0.500, 0.500)
Hg (0.500, 0.000, 0.500)

Values from the calculation:
* polymorph energy (0 for the lowest one): 36.0 meV per atom
* spin magnetization: 7.5 μB per cell
* formation enthalpy at 0 K: -27.5 kJ/mol of atoms
* VASP energy: -4.8920 eV per atom
* N(E_F): 3.0 states/eV per cell

10.
First-principles (PBE) data for a relaxed structure of TaCo2Pb, as listed in the Alexandria database.

a = 4.332 Å, b = 4.332 Å, c = 3.328 Å
α = 90.00°, β = 90.00°, γ = 90.00°
Positions (direct):
Ta (0.000, 0.000, 0.000)
Co (0.000, 0.500, 0.500)
Co (0.500, 0.000, 0.500)
Pb (0.500, 0.500, 0.000)

Values from the calculation:
* spin magnetization: 2.4 μB per cell
* formation enthalpy at 0 K: 30.5 kJ/mol of atoms
* VASP energy: -7.1269 eV per atom
* N(E_F): 3.4 states/eV per cell

11.
First-principles (PBE) data for a relaxed structure of RbGaTe3, as listed in the Alexandria database.

a = 6.308 Å, b = 6.308 Å, c = 6.308 Å
α = 90.00°, β = 90.00°, γ = 90.00°
Positions (direct):
Rb (0.000, 0.000, 0.000)
Ga (0.500, 0.500, 0.500)
Te (0.000, 0.000, 0.500)
Te (0.000, 0.500, 0.000)
Te (0.500, 0.000, 0.000)

Values from the calculation:
* polymorph energy (0 for the lowest one): 1349.9 meV per atom
* formation energy (no corrections): 790 meV per atom
* spin magnetization: 0.0 μB per cell
* VASP energy: -1.8943 eV per atom
* N(E_F): 11.1 states/eV per cell

12.
First-principles (PBE) data for a relaxed structure of Cs3Dy2MnSe6, as listed in the Alexandria database.

a = 7.184 Å, b = 7.184 Å, c = 8.714 Å
α = 98.86°, β = 98.86°, γ = 118.03°
Positions (direct):
Cs (0.000, 0.000, 0.000)
Cs (0.326, 0.674, 0.000)
Cs (0.674, 0.326, 0.000)
Dy (0.162, 0.838, 0.500)
Dy (0.838, 0.162, 0.500)
Mn (0.500, 0.500, 0.500)
Se (0.139, 0.443, 0.329)
Se (0.230, 0.230, 0.697)
Se (0.443, 0.139, 0.329)
Se (0.557, 0.861, 0.671)
Se (0.770, 0.770, 0.303)
Se (0.861, 0.557, 0.671)

Values from the calculation:
* formation energy (no corrections): -1337 meV per atom
* spin magnetization: 4.0 μB per cell
* VASP energy: -4.8238 eV per atom
* N(E_F): 0.3 states/eV per cell

13.
First-principles (PBE) data for a relaxed structure of Ce2PuReN6, as listed in the Alexandria database.

a = 5.681 Å, b = 5.773 Å, c = 9.811 Å
α = 90.00°, β = 124.90°, γ = 90.00°
Positions (direct):
Ce (0.239, 0.052, 0.251)
Ce (0.239, 0.448, 0.751)
Ce (0.761, 0.552, 0.249)
Ce (0.761, 0.948, 0.749)
Pu (0.500, 0.000, 0.000)
Pu (0.500, 0.500, 0.500)
Re (0.000, 0.000, 0.500)
Re (0.000, 0.500, 0.000)
N (0.140, 0.208, 0.946)
N (0.140, 0.292, 0.446)
N (0.232, 0.695, 0.945)
N (0.232, 0.805, 0.445)
N (0.344, 0.025, 0.741)
N (0.344, 0.475, 0.241)
N (0.656, 0.525, 0.759)
N (0.656, 0.975, 0.259)
N (0.768, 0.195, 0.555)
N (0.768, 0.305, 0.055)
N (0.860, 0.708, 0.554)
N (0.860, 0.792, 0.054)

Values from the calculation:
* formation energy (no corrections): -923 meV per atom
* spin magnetization: 7.6 μB per cell
* VASP energy: -9.7825 eV per atom
* N(E_F): 17.8 states/eV per cell

14.
First-principles (PBE) data for a relaxed structure of TlZnSnSb, as listed in the Alexandria database.

a = 3.624 Å, b = 3.624 Å, c = 8.044 Å
α = 90.00°, β = 90.00°, γ = 89.98°
Positions (direct):
Tl (0.000, 0.000, 0.000)
Zn (0.001, 0.001, 0.491)
Sn (0.501, 0.501, 0.690)
Sb (0.501, 0.501, 0.305)

Values from the calculation:
* polymorph energy (0 for the lowest one): 0.0 meV per atom
* formation energy (no corrections): 82 meV per atom
* spin magnetization: 0.0 μB per cell
* VASP energy: -2.8592 eV per atom
* N(E_F): 1.7 states/eV per cell